# 1
{
  "formula": "ThTcGe2",
  "functional": "PBE",
  "state": "relaxed",
  "e_form_kcal_per_mol_atoms": -12.5,
  "lattice": [[4.4446, 0.0000, 0.0000], [0.0000, 6.9823, 0.0000], [0.0000, 0.0000, 10.5358]],
  "species": ["Ge", "Ge", "Ge", "Ge", "Ge", "Ge", "Ge", "Ge", "Tc", "Tc", "Tc", "Tc", "Th", "Th", "Th", "Th"],
  "fractional_positions": [[0.2500, 0.8729, 0.8210], [0.7500, 0.1917, 0.5805], [0.7500, 0.6917, 0.9195], [0.2500, 0.3083, 0.0805], [0.7500, 0.1271, 0.1790], [0.2500, 0.8083, 0.4195], [0.7500, 0.6271, 0.3210], [0.2500, 0.3729, 0.6790], [0.7500, 0.9842, 0.3915], [0.7500, 0.4842, 0.1085], [0.2500, 0.0158, 0.6085], [0.2500, 0.5158, 0.8915], [0.7500, 0.6860, 0.6282], [0.2500, 0.3140, 0.3718], [0.7500, 0.1860, 0.8718], [0.2500, 0.8140, 0.1282]]
}

=====

# 2
{
  "formula": "MgOs2Pb",
  "functional": "PBE",
  "state": "relaxed",
  "e_form_kcal_per_mol_atoms": 12.6,
  "lattice": [[4.3379, -0.0042, 0.0748], [3.3159, 2.7969, 0.0748], [1.5228, 0.5556, 7.0837]],
  "species": ["Os", "Os", "Pb", "Mg"],
  "fractional_positions": [[0.9969, 0.9969, 0.9510], [0.7524, 0.7524, 0.8237], [0.5082, 0.5082, 0.5442], [0.2424, 0.2424, 0.1811]]
}

=====

# 3
{
  "formula": "Tm3Mg2Pd6",
  "functional": "PBE",
  "state": "relaxed",
  "e_form_kcal_per_mol_atoms": -18.3,
  "lattice": [[-5.2214, -0.6758, -6.3965], [7.7913, 0.2252, -2.8070], [-0.9361, -6.5165, 5.0293]],
  "species": ["Tm", "Tm", "Tm", "Tm", "Tm", "Tm", "Pd", "Pd", "Pd", "Pd", "Pd", "Pd", "Pd", "Pd", "Pd", "Pd", "Pd", "Pd", "Mg", "Mg", "Mg", "Mg"],
  "fractional_positions": [[0.6945, 0.6945, 0.0000], [0.3055, 0.3055, 0.0000], [0.0000, 0.3055, 0.3055], [0.3055, 0.0000, 0.3055], [0.6945, 0.0000, 0.6945], [0.0000, 0.6945, 0.6945], [0.3383, 0.6617, 0.0000], [0.3383, 0.3383, 0.6766], [0.6766, 0.3383, 0.3383], [0.6617, 0.3234, 0.6617], [0.6617, 0.0000, 0.3383], [0.3383, 0.6766, 0.3383], [0.6617, 0.3383, 0.0000], [0.3383, 0.0000, 0.6617], [0.0000, 0.3383, 0.6617], [0.6617, 0.6617, 0.3234], [0.3234, 0.6617, 0.6617], [0.0000, 0.6617, 0.3383], [0.5000, 0.0000, 0.0000], [0.5000, 0.5000, 0.5000], [0.0000, 0.5000, 0.0000], [0.0000, 0.0000, 0.5000]]
}

=====

# 4
{
  "formula": "PmMnIrPd",
  "functional": "PBE",
  "state": "relaxed",
  "e_form_kcal_per_mol_atoms": -7.2,
  "lattice": [[4.7349, 0.0000, 0.0000], [2.3675, 4.1006, 0.0000], [2.3675, 1.3669, 3.8661]],
  "species": ["Pm", "Ir", "Pd", "Mn"],
  "fractional_positions": [[0.7500, 0.7500, 0.7500], [0.5000, 0.5000, 0.5000], [0.0000, 0.0000, 0.0000], [0.2500, 0.2500, 0.2500]]
}

=====

# 5
{
  "formula": "KS2Br",
  "functional": "PBE",
  "state": "relaxed",
  "energy_ev_per_cell": -21.41,
  "lattice": [[6.3216, 0.0000, 0.0000], [0.0000, 6.3216, 0.0000], [3.1608, 3.1608, 7.1385]],
  "species": ["K", "K", "S", "S", "S", "S", "Br", "Br"],
  "fractional_positions": [[0.5000, 0.5000, 0.0000], [0.2500, 0.7500, 0.5000], [0.7529, 0.1250, 0.2500], [0.3750, 0.2471, 0.7500], [0.9971, 0.6250, 0.2500], [0.8750, 0.0029, 0.7500], [0.7500, 0.2500, 0.5000], [0.0000, 0.0000, 0.0000]]
}

=====

# 6
{
  "formula": "Tl4TeSe5",
  "functional": "PBE",
  "state": "relaxed",
  "energy_ev_per_cell": -32.21,
  "lattice": [[5.9776, 0.0000, 0.0000], [2.9888, 6.9552, 0.0000], [2.9888, 0.0000, 6.9552]],
  "species": ["Se", "Se", "Se", "Se", "Se", "Tl", "Tl", "Tl", "Tl", "Te"],
  "fractional_positions": [[0.5010, 0.0000, 0.0000], [0.0951, 0.6302, 0.1816], [0.9069, 0.3698, 0.8184], [0.7253, 0.1816, 0.3698], [0.2768, 0.8184, 0.6302], [0.5954, 0.6042, 0.2070], [0.8024, 0.7930, 0.6042], [0.1996, 0.2070, 0.3958], [0.4066, 0.3958, 0.7930], [0.0010, 0.0000, 0.0000]]
}

=====

# 7
{
  "formula": "AsPPb4Br2",
  "functional": "PBE",
  "state": "relaxed",
  "energy_ev_per_cell": -31.22,
  "lattice": [[4.3504, 0.0000, 0.0000], [0.0000, 7.5224, 0.1268], [0.0000, -2.6389, 7.4735]],
  "species": ["Br", "Br", "As", "Pb", "Pb", "Pb", "Pb", "P"],
  "fractional_positions": [[0.5000, 0.0000, 0.5000], [0.0000, 0.5000, 0.5000], [0.5000, 0.5000, 0.0000], [0.5000, 0.7699, 0.7934], [0.5000, 0.2301, 0.2066], [0.0000, 0.2581, 0.7913], [0.0000, 0.7419, 0.2087], [0.0000, 0.0000, 0.0000]]
}

=====

# 8
{
  "formula": "PuTi2O6",
  "functional": "PBE",
  "state": "relaxed",
  "energy_ev_per_cell": -86.92,
  "lattice": [[-2.9829, 1.6846, 3.3970], [-3.6614, -3.1765, -1.6399], [3.2718, -1.5226, 3.6280]],
  "species": ["Pu", "O", "O", "O", "O", "O", "O", "Ti", "Ti"],
  "fractional_positions": [[0.0000, 0.0000, 0.0000], [0.2772, 0.3540, 0.3540], [0.7229, 0.0000, 0.3540], [0.2771, 0.6460, 0.0000], [0.2771, 0.0000, 0.6460], [0.7229, 0.3540, 0.0000], [0.7228, 0.6460, 0.6460], [0.5000, 0.3333, 0.6667], [0.5000, 0.6667, 0.3333]]
}

=====

# 9
{
  "formula": "ZrPa6Ta2",
  "functional": "PBE",
  "state": "relaxed",
  "e_form_kcal_per_mol_atoms": 0.9,
  "lattice": [[-1.2127, -1.7931, -2.0524], [6.7275, 1.7455, -5.5000], [0.5400, -6.8180, 5.6382]],
  "species": ["Ta", "Ta", "Pa", "Pa", "Pa", "Pa", "Pa", "Pa", "Zr"],
  "fractional_positions": [[0.0000, 0.6667, 0.3333], [0.0000, 0.3333, 0.6667], [0.5000, 0.6646, 0.0000], [0.5000, 0.3354, 0.0000], [0.5001, 0.6646, 0.6646], [0.4999, 0.3354, 0.3354], [0.4999, 0.0000, 0.3354], [0.5001, 0.0000, 0.6646], [0.0000, 0.0000, 0.0000]]
}

=====

# 10
{
  "formula": "MnV3Ni6",
  "functional": "PBE",
  "state": "relaxed",
  "e_form_kcal_per_mol_atoms": 1.5,
  "lattice": [[6.2366, -0.9797, -0.6921], [2.0878, 4.4144, 0.2274], [2.0878, 1.6896, 4.0846]],
  "species": ["Ni", "Ni", "Ni", "Ni", "Ni", "Ni", "V", "V", "V", "Mn"],
  "fractional_positions": [[0.0662, 0.6540, 0.6540], [0.9338, 0.3460, 0.3460], [0.3092, 0.5931, 0.0927], [0.6908, 0.4069, 0.9073], [0.6908, 0.9073, 0.4069], [0.3092, 0.0927, 0.5931], [0.0000, 0.0000, 0.0000], [0.3082, 0.1096, 0.1096], [0.6918, 0.8904, 0.8904], [0.5000, 0.5000, 0.5000]]
}

=====

# 11
{
  "formula": "LaIn2Ru2",
  "functional": "PBE",
  "state": "relaxed",
  "e_form_kcal_per_mol_atoms": -3.8,
  "lattice": [[-0.1250, -0.7611, 4.4384], [2.7048, -3.5626, -0.5348], [5.6975, 1.0823, 2.6322]],
  "species": ["La", "Ru", "Ru", "In", "In"],
  "fractional_positions": [[0.0000, 0.0000, 0.0000], [0.3939, 0.3939, 0.2122], [0.6061, 0.6061, 0.7878], [0.2500, 0.7500, 0.5000], [0.7500, 0.2500, 0.5000]]
}

=====

# 12
{
  "formula": "Er2PbAu",
  "functional": "PBE",
  "state": "relaxed",
  "e_form_kcal_per_mol_atoms": -14.9,
  "lattice": [[-2.0006, -0.4281, 4.0196], [-1.6059, -5.7499, -1.4116], [7.2936, 0.2527, 3.6570]],
  "species": ["Er", "Er", "Er", "Er", "Pb", "Pb", "Au", "Au"],
  "fractional_positions": [[0.7500, 0.2020, 0.4403], [0.2500, 0.7980, 0.5597], [0.2500, 0.7661, 0.0847], [0.7500, 0.2339, 0.9153], [0.2500, 0.3139, 0.2074], [0.7500, 0.6861, 0.7926], [0.2500, 0.3167, 0.7013], [0.7500, 0.6833, 0.2987]]
}

=====

# 13
{
  "formula": "Ba3TePt",
  "functional": "PBE",
  "state": "relaxed",
  "energy_ev_per_cell": -18.88,
  "lattice": [[-3.3268, 4.6502, -2.1424], [-5.0211, -2.4635, 2.4499], [1.0014, 3.0966, 5.1662]],
  "species": ["Ba", "Ba", "Ba", "Pt", "Te"],
  "fractional_positions": [[0.0000, 0.5000, 0.0000], [0.5000, 0.0000, 0.0000], [0.0000, 0.0000, 0.5000], [0.0000, 0.0000, 0.0000], [0.5000, 0.5000, 0.5000]]
}

=====

# 14
{
  "formula": "LiErGe2Se4",
  "functional": "PBE",
  "state": "relaxed",
  "energy_ev_per_cell": -36.81,
  "lattice": [[4.0300, 0.0000, 0.0000], [0.0000, 6.8913, 0.1389], [0.0000, -2.3928, 6.6009]],
  "species": ["Li", "Er", "Ge", "Ge", "Se", "Se", "Se", "Se"],
  "fractional_positions": [[0.5000, 0.5000, 0.0000], [0.0000, 0.0000, 0.0000], [0.0000, 0.5000, 0.5000], [0.5000, 0.0000, 0.5000], [0.5000, 0.2509, 0.2477], [0.0000, 0.2491, 0.7509], [0.0000, 0.7509, 0.2491], [0.5000, 0.7491, 0.7523]]
}

=====

# 15
{
  "formula": "Ba4Cd5Bi7",
  "functional": "PBE",
  "state": "relaxed",
  "e_form_kcal_per_mol_atoms": -11.2,
  "lattice": [[-5.2925, 4.2022, 0.5766], [-0.6747, -1.7443, 6.5195], [10.4273, 7.7121, -0.3855]],
  "species": ["Cd", "Cd", "Cd", "Cd", "Cd", "Bi", "Bi", "Bi", "Bi", "Bi", "Bi", "Bi", "Ba", "Ba", "Ba", "Ba"],
  "fractional_positions": [[0.0000, 0.0000, 0.0000], [0.7480, 0.7480, 0.4960], [0.2520, 0.2520, 0.5040], [0.7500, 0.2500, 0.5000], [0.2500, 0.7500, 0.5000], [0.4137, 0.4137, 0.3396], [0.5000, 0.5000, 0.0000], [0.0740, 0.5863, 0.6604], [0.0000, 0.5000, 0.0000], [0.9260, 0.9260, 0.3396], [0.5000, 0.0000, 0.0000], [0.5863, 0.0740, 0.6604], [0.6248, 0.6248, 0.7659], [0.3752, 0.8589, 0.2341], [0.1411, 0.1411, 0.7659], [0.8589, 0.3752, 0.2341]]
}

=====

# 16
{
  "formula": "Ba6Sn3O",
  "functional": "PBE",
  "state": "relaxed",
  "energy_ev_per_cell": -75.06,
  "lattice": [[8.1862, 0.0000, 0.0000], [0.0000, 10.8224, -0.8331], [0.0000, -3.2271, 10.3636]],
  "species": ["Sn", "Sn", "Sn", "Sn", "Sn", "Sn", "Ba", "Ba", "Ba", "Ba", "Ba", "Ba", "Ba", "Ba", "Ba", "Ba", "Ba", "Ba", "O", "O"],
  "fractional_positions": [[0.9733, 0.0219, 0.2393], [0.4349, 0.3952, 0.6048], [0.4733, 0.2393, 0.0219], [0.9733, 0.7607, 0.9781], [0.4733, 0.9781, 0.7607], [0.9349, 0.6048, 0.3952], [0.2128, 0.3310, 0.3096], [0.7128, 0.6690, 0.6904], [0.2128, 0.6904, 0.6690], [0.1880, 0.1075, 0.5754], [0.2160, 0.7550, 0.2450], [0.7160, 0.2450, 0.7550], [0.5641, 0.9294, 0.0706], [0.1880, 0.4246, 0.8925], [0.6880, 0.8925, 0.4246], [0.0641, 0.0706, 0.9294], [0.6880, 0.5754, 0.1075], [0.7128, 0.3096, 0.3310], [0.0220, 0.2176, 0.7824], [0.5220, 0.7824, 0.2176]]
}

=====

# 17
{
  "formula": "Mg2PW",
  "functional": "PBE",
  "state": "relaxed",
  "e_form_kcal_per_mol_atoms": 5.0,
  "lattice": [[2.8350, 0.0000, 0.0000], [0.0000, 2.8350, 0.0000], [0.0000, 0.0000, 8.3922]],
  "species": ["Mg", "Mg", "P", "W"],
  "fractional_positions": [[0.0000, 0.0000, 0.4900], [0.0000, 0.0000, 0.0100], [0.5000, 0.5000, 0.2500], [0.5000, 0.5000, 0.7500]]
}

=====

# 18
{
  "formula": "CoHgPt2",
  "functional": "PBE",
  "state": "relaxed",
  "e_form_kcal_per_mol_atoms": 2.5,
  "lattice": [[2.8401, 0.0000, 0.0000], [0.0000, 2.8401, 0.0000], [0.0000, 0.0000, 7.8402]],
  "species": ["Hg", "Pt", "Pt", "Co"],
  "fractional_positions": [[0.5000, 0.5000, 0.7347], [0.5000, 0.5000, 0.2716], [0.0000, 0.0000, 0.0140], [0.0000, 0.0000, 0.4797]]
}

=====

# 19
{
  "formula": "Ho2Er4Mg5",
  "functional": "PBE",
  "state": "relaxed",
  "e_form_kcal_per_mol_atoms": 5.8,
  "lattice": [[-4.2707, -3.5579, -2.6087], [0.8066, -2.4201, -5.2462], [2.3663, -10.7111, 3.5083]],
  "species": ["Er", "Er", "Er", "Er", "Mg", "Mg", "Mg", "Mg", "Mg", "Ho", "Ho"],
  "fractional_positions": [[0.5401, 0.6657, 0.2541], [0.2058, 0.3343, 0.2541], [0.4599, 0.3343, 0.7459], [0.7942, 0.6657, 0.7459], [0.5000, 0.5000, 0.0000], [0.2500, 0.5000, 0.5000], [0.5000, 0.0000, 0.0000], [0.0000, 0.5000, 0.0000], [0.7500, 0.5000, 0.5000], [0.1481, 0.0000, 0.7037], [0.8519, 0.0000, 0.2963]]
}

=====

# 20
{
  "formula": "MgNiRu2",
  "functional": "PBE",
  "state": "relaxed",
  "e_form_kcal_per_mol_atoms": 4.5,
  "lattice": [[-1.5014, -3.2249, -2.5560], [1.6142, 0.8339, -2.0004], [3.9634, -2.6136, 0.9695]],
  "species": ["Ru", "Ru", "Ni", "Mg"],
  "fractional_positions": [[0.0000, 0.9314, 0.9851], [0.0000, 0.5686, 0.5149], [0.5000, 0.7500, 0.7500], [0.5000, 0.2500, 0.2500]]
}

=====

# 21
{
  "formula": "MgGa4Ir",
  "functional": "PBE",
  "state": "relaxed",
  "e_form_kcal_per_mol_atoms": -6.0,
  "lattice": [[-2.5840, -3.5698, 0.5349], [4.0495, -1.9656, 5.9975], [-3.1717, 5.4547, 2.5711]],
  "species": ["Ga", "Ga", "Ga", "Ga", "Ga", "Ga", "Ga", "Ga", "Mg", "Mg", "Ir", "Ir"],
  "fractional_positions": [[0.0397, 0.8514, 0.5819], [0.7101, 0.0989, 0.9159], [0.7999, 0.4780, 0.0996], [0.2001, 0.5220, 0.9004], [0.9603, 0.1486, 0.4181], [0.4301, 0.6512, 0.3597], [0.5699, 0.3488, 0.6403], [0.2899, 0.9011, 0.0841], [0.3519, 0.2675, 0.1985], [0.6481, 0.7325, 0.8015], [0.5000, 0.0000, 0.5000], [0.0000, 0.5000, 0.5000]]
}

=====

# 22
{
  "formula": "VCdPtRh",
  "functional": "PBE",
  "state": "relaxed",
  "e_form_kcal_per_mol_atoms": -9.0,
  "lattice": [[-1.3371, -1.9451, 1.6267], [2.5332, -1.1051, 0.7607], [0.2952, 4.7690, 5.9452]],
  "species": ["Rh", "Cd", "V", "Pt"],
  "fractional_positions": [[0.5000, 0.5000, 0.3529], [0.0000, 0.0000, 0.0775], [0.0000, 0.0000, 0.5619], [0.5000, 0.5000, 0.7924]]
}

=====

# 23
{
  "formula": "NdCoTcGe2",
  "functional": "PBE",
  "state": "relaxed",
  "e_form_kcal_per_mol_atoms": -11.4,
  "lattice": [[-1.2853, 3.9982, 0.1833], [-3.6743, -1.2551, 1.6111], [4.4046, -0.9684, 3.8067]],
  "species": ["Ge", "Ge", "Nd", "Tc", "Co"],
  "fractional_positions": [[0.6321, 0.6321, 0.2643], [0.3679, 0.3679, 0.7357], [0.0000, 0.0000, 0.0000], [0.7500, 0.2500, 0.5000], [0.2500, 0.7500, 0.5000]]
}

=====

# 24
{
  "formula": "MgBMo2Pd",
  "functional": "PBE",
  "state": "relaxed",
  "e_form_kcal_per_mol_atoms": 48.9,
  "lattice": [[4.6380, 0.0000, 0.0000], [0.0000, 3.8677, 0.0000], [0.0000, 0.0000, 4.6380]],
  "species": ["Mg", "Mo", "Mo", "Pd", "B"],
  "fractional_positions": [[0.0000, 0.0000, 0.0000], [0.0000, 0.0000, 0.5000], [0.5000, 0.0000, 0.0000], [0.5000, 0.5000, 0.5000], [0.0000, 0.5000, 0.0000]]
}

=====

For the records above, the corresponding M_tot values read 0.00 0.00 0.00 4.66 0.00 0.00 0.00 4.00 0.00 1.43 0.00 0.00 0.00 0.00 0.00 0.00 0.00 2.04 0.00 0.01 0.00 0.49 0.00 0.01 Bohr magnetons per cell.